Cs3Pu2O7 PBE-GGA relaxed; total DFT energy (no corrections) = -7.833 eV per atom; N(E_F) = 8.7 states/eV/f.u.; volume = 231.2 Å³ per cell
1.0
-2.188 2.188 12.072
2.188 -2.188 12.072
2.188 2.188 -12.072
Cs Pu O
3 2 7
direct
0.000 0.000 0.000
0.189 0.189 0.000
0.811 0.811 0.000
0.410 0.410 0.000
0.590 0.590 0.000
0.091 0.591 0.500
0.329 0.329 0.000
0.409 0.909 0.500
0.500 0.500 0.000
0.591 0.091 0.500
0.671 0.671 0.000
0.909 0.409 0.500